Entry from Alexandria via LeMat-Bulk: HfTiAlMo after structural relaxation (PBE).

CIF file:
```
data_HfTiAlMo
_chemical_formula_sum 'Hf1 Ti1 Al1 Mo1'
_space_group_name_H-M_alt 'P 4 m m'
_space_group_IT_number 99
_cell_length_a 3.326
_cell_length_b 3.326
_cell_length_c 6.319
_cell_angle_alpha 90.00
_cell_angle_beta 90.00
_cell_angle_gamma 90.00
loop_
_space_group_symop_operation_xyz
'x,y,z'
'-y,x,z'
'-x,-y,z'
'y,-x,z'
'-x,y,z'
'y,x,z'
'x,-y,z'
'-y,-x,z'
loop_
_atom_site_label
_atom_site_type_symbol
_atom_site_fract_x
_atom_site_fract_y
_atom_site_fract_z
Hf1 Hf 0.000 0.000 0.000
Ti1 Ti 0.000 0.000 0.526
Al1 Al 0.500 0.500 0.282
Mo1 Mo 0.500 0.500 0.747
```

ρ (g/cm³): 8.30
Magnetic moment (μB per atom): 0.0000
D(E_F) (states/eV per atom): 0.69
Final energy (eV/cell): -33.67